1.
## LiMg2Hg4 (PBE-GGA)

Data for a geometry-optimized LiMg2Hg4 structure.

```
LiMg2Hg4
1.0
3.355 0.000 0.000
0.000 6.981 0.085
-1.678 -3.304 6.593
Li Hg Mg
1 4 2
Direct
0.000 0.000 0.000
0.907 0.269 0.814
0.613 0.353 0.226
0.387 0.647 0.774
0.093 0.731 0.186
0.229 0.189 0.458
0.771 0.811 0.542
```

ΔH_f (0 K) = -0.160 eV/atom

2.
## LiMg6Hg (PBE-GGA)

Data for a geometry-optimized LiMg6Hg structure.

```
LiMg6Hg
1.0
-2.842 -1.502 3.486
-1.224 -5.070 -3.182
4.843 -2.218 2.992
Mg Hg Li
6 1 1
Direct
0.500 0.167 0.401
0.000 0.311 0.689
0.500 0.599 0.833
0.000 0.413 0.183
0.000 0.817 0.587
0.000 0.904 0.096
0.500 0.680 0.320
0.500 0.109 0.891
```

ΔH_f (0 K) = -0.065 eV/atom

3.
## Li2MgHg2 (PBE-GGA)

Data for a geometry-optimized Li2MgHg2 structure.

```
Li2MgHg2
1.0
7.735 0.000 0.000
0.000 7.735 0.000
0.000 0.000 3.310
Hg Li Mg
4 4 2
Direct
0.356 0.856 0.000
0.856 0.644 0.000
0.144 0.356 0.000
0.644 0.144 0.000
0.654 0.846 0.500
0.346 0.154 0.500
0.154 0.654 0.500
0.846 0.346 0.500
0.500 0.500 0.000
0.000 0.000 0.000
```

ΔH_f (0 K) = -0.286 eV/atom

4.
## Li4MgHg5 (PBE-GGA)

Data for a geometry-optimized Li4MgHg5 structure.

```
Li4MgHg5
1.0
3.391 0.000 0.000
0.000 3.391 0.000
0.000 0.000 16.494
Hg Li Mg
5 4 1
Direct
0.500 0.500 0.307
0.500 0.500 0.500
0.500 0.500 0.887
0.500 0.500 0.693
0.500 0.500 0.113
0.000 0.000 0.209
0.000 0.000 0.597
0.000 0.000 0.403
0.000 0.000 0.791
0.000 0.000 0.000
```

ΔH_f (0 K) = -0.351 eV/atom

5.
## Li5MgHg3 (PBE-GGA)

Data for a geometry-optimized Li5MgHg3 structure.

```
Li5MgHg3
1.0
5.879 0.000 0.000
0.000 8.123 0.000
0.000 -4.062 7.034
Li Hg Mg
10 6 2
Direct
0.750 0.341 0.000
0.750 0.000 0.341
0.250 0.341 0.341
0.250 0.659 0.000
0.750 0.659 0.659
0.000 0.667 0.333
0.000 0.333 0.667
0.500 0.333 0.667
0.250 0.000 0.659
0.500 0.667 0.333
0.750 0.334 0.334
0.250 0.000 0.334
0.750 0.000 0.666
0.250 0.666 0.666
0.750 0.666 0.000
0.250 0.334 0.000
0.500 0.000 0.000
0.000 0.000 0.000
```

ΔH_f (0 K) = -0.310 eV/atom

6.
## LiMg4Hg2 (PBE-GGA)

Data for a geometry-optimized LiMg4Hg2 structure.

```
LiMg4Hg2
1.0
4.876 0.000 0.000
0.000 8.204 0.000
0.000 0.000 8.204
Hg Mg Li
4 8 2
Direct
0.000 0.774 0.226
0.500 0.274 0.274
0.000 0.226 0.774
0.500 0.726 0.726
0.500 0.141 0.608
0.000 0.359 0.108
0.500 0.859 0.392
0.000 0.892 0.641
0.500 0.608 0.141
0.000 0.641 0.892
0.500 0.392 0.859
0.000 0.108 0.359
0.000 0.500 0.500
0.500 0.000 0.000
```

ΔH_f (0 K) = -0.123 eV/atom

7.
## Li2Mg3Hg4 (PBE-GGA)

Data for a geometry-optimized Li2Mg3Hg4 structure.

```
Li2Mg3Hg4
1.0
-2.850 -3.819 -0.043
1.856 -4.514 0.285
-0.292 0.453 9.239
Mg Li Hg
3 2 4
Direct
0.343 0.328 0.424
0.657 0.672 0.576
0.000 0.000 0.000
0.676 0.661 0.216
0.324 0.339 0.784
0.338 0.330 0.105
0.020 0.989 0.328
0.980 0.011 0.672
0.662 0.670 0.895
```

ΔH_f (0 K) = -0.257 eV/atom

8.
## Li12Mg5Hg2 (PBE-GGA)

Data for a geometry-optimized Li12Mg5Hg2 structure.

```
Li12Mg5Hg2
1.0
4.489 0.065 1.101
0.698 8.753 6.503
-0.253 1.599 10.806
Li Hg Mg
12 2 5
Direct
0.584 0.628 0.204
0.099 0.901 0.901
0.809 0.925 0.457
0.416 0.796 0.372
0.809 0.457 0.925
0.919 0.581 0.581
0.416 0.372 0.796
0.081 0.419 0.419
0.191 0.543 0.075
0.584 0.204 0.628
0.901 0.099 0.099
0.191 0.075 0.543
0.000 0.768 0.232
0.000 0.232 0.768
0.689 0.811 0.811
0.500 0.000 0.000
0.296 0.706 0.706
0.311 0.189 0.189
0.704 0.294 0.294
```

ΔH_f (0 K) = -0.115 eV/atom

9.
## LiMg5Hg6 (PBE-GGA)

Data for a geometry-optimized LiMg5Hg6 structure.

```
LiMg5Hg6
1.0
-1.352 2.443 4.024
-5.746 -4.045 0.526
4.365 -5.919 2.161
Hg Mg Li
6 5 1
Direct
0.838 0.247 0.673
0.838 0.753 0.673
0.162 0.247 0.327
0.500 0.756 0.000
0.162 0.753 0.327
0.500 0.244 0.000
0.000 0.500 0.000
0.335 0.000 0.666
0.335 0.500 0.667
0.665 0.000 0.334
0.665 0.500 0.333
0.000 0.000 0.000
```

ΔH_f (0 K) = -0.251 eV/atom

10.
## LiMgHg2 (PBE-GGA)

Data for a geometry-optimized LiMgHg2 structure.

```
LiMgHg2
1.0
4.870 0.000 0.000
0.000 3.360 -0.003
0.000 0.004 4.870
Hg Mg Li
2 1 1
Direct
0.000 0.125 0.874
0.500 0.125 0.376
0.500 0.625 0.876
0.000 0.625 0.374
```

ΔH_f (0 K) = -0.306 eV/atom

11.
## Li2Mg4Hg (PBE-GGA)

Data for a geometry-optimized Li2Mg4Hg structure.

```
Li2Mg4Hg
1.0
9.748 0.000 0.000
0.000 5.613 -1.067
0.000 0.990 5.325
Hg Li Mg
2 4 8
Direct
0.500 0.500 0.000
0.000 0.000 0.000
0.502 0.003 0.253
0.998 0.503 0.253
0.002 0.497 0.747
0.498 0.997 0.747
0.250 0.751 0.008
0.164 0.003 0.507
0.750 0.249 0.992
0.750 0.749 0.992
0.836 0.997 0.493
0.664 0.497 0.493
0.250 0.251 0.008
0.336 0.503 0.507
```

ΔH_f (0 K) = -0.096 eV/atom

12.
## Li4MgHg3 (PBE-GGA)

Data for a geometry-optimized Li4MgHg3 structure.

```
Li4MgHg3
1.0
3.430 0.000 0.000
0.000 3.430 0.000
0.000 0.000 12.777
Li Hg Mg
4 3 1
Direct
0.000 0.000 0.136
0.000 0.000 0.864
0.000 0.000 0.375
0.000 0.000 0.625
0.500 0.500 0.753
0.500 0.500 0.500
0.500 0.500 0.247
0.500 0.500 0.000
```

ΔH_f (0 K) = -0.298 eV/atom

13.
## Li7Mg2Hg (PBE-GGA)

Data for a geometry-optimized Li7Mg2Hg structure.

```
Li7Mg2Hg
1.0
6.921 0.000 0.000
3.461 5.994 0.000
3.461 1.998 5.651
Mg Li Hg
2 7 1
Direct
0.250 0.250 0.250
0.750 0.750 0.750
0.500 0.500 0.500
0.254 0.746 0.746
0.746 0.254 0.746
0.254 0.746 0.254
0.746 0.254 0.254
0.746 0.746 0.254
0.254 0.254 0.746
0.000 0.000 0.000
```

ΔH_f (0 K) = 0.173 eV/atom

14.
## Li8Mg4Hg (PBE-GGA)

Data for a geometry-optimized Li8Mg4Hg structure.

```
Li8Mg4Hg
1.0
3.375 0.000 0.000
0.000 4.808 0.000
0.000 0.000 16.256
Li Mg Hg
8 4 1
Direct
0.500 0.500 0.758
0.500 0.000 0.622
0.500 0.000 0.197
0.000 0.000 0.752
0.000 0.000 0.487
0.000 0.500 0.915
0.000 0.500 0.232
0.500 0.500 0.066
0.000 0.000 0.051
0.500 0.000 0.895
0.500 0.500 0.407
0.000 0.500 0.595
0.000 0.000 0.327
```

ΔH_f (0 K) = -0.061 eV/atom

15.
## Li8Mg2Hg (PBE-GGA)

Data for a geometry-optimized Li8Mg2Hg structure.

```
Li8Mg2Hg
1.0
-5.896 1.202 -1.468
-0.609 -2.383 -6.456
-2.313 -5.985 -2.562
Li Mg Hg
8 2 1
Direct
0.683 0.661 0.176
0.802 0.593 0.593
0.317 0.339 0.824
0.963 0.765 0.765
0.317 0.824 0.339
0.198 0.407 0.407
0.683 0.176 0.661
0.037 0.235 0.235
0.606 0.199 0.199
0.394 0.801 0.801
0.000 0.000 0.000
```

ΔH_f (0 K) = -0.062 eV/atom

16.
## LiMgHg2 (PBE-GGA)

Data for a geometry-optimized LiMgHg2 structure.

```
LiMgHg2
1.0
8.632 -0.146 -0.086
7.983 3.288 -0.086
7.983 1.510 2.922
Mg Hg Li
1 2 1
Direct
0.750 0.750 0.750
0.504 0.504 0.504
0.996 0.996 0.996
0.250 0.250 0.250
```

ΔH_f (0 K) = -0.181 eV/atom

17.
## Li5MgHg8 (PBE-GGA)

Data for a geometry-optimized Li5MgHg8 structure.

```
Li5MgHg8
1.0
-4.750 -2.179 -5.073
-2.089 -2.198 6.622
0.263 7.270 -0.355
Li Hg Mg
5 8 1
Direct
0.031 0.345 0.124
0.876 0.906 0.220
0.500 0.000 0.500
0.780 0.655 0.686
0.314 0.094 0.969
0.936 0.070 0.673
0.639 0.397 0.897
0.758 0.258 0.361
0.327 0.263 0.397
0.103 0.742 0.500
0.134 0.737 0.064
0.603 0.930 0.866
0.500 0.603 0.242
0.250 0.500 0.750
```

ΔH_f (0 K) = -0.241 eV/atom

18.
## Li3MgHg5 (PBE-GGA)

Data for a geometry-optimized Li3MgHg5 structure.

```
Li3MgHg5
1.0
-5.057 2.486 -1.943
2.344 -1.463 -7.973
-4.464 -5.788 4.215
Li Hg Mg
6 10 2
Direct
0.750 0.636 0.000
0.750 0.364 0.364
0.250 0.636 0.636
0.250 0.364 0.000
0.250 0.000 0.364
0.750 0.000 0.636
0.750 0.302 0.000
0.000 0.667 0.333
0.500 0.667 0.333
0.500 0.333 0.667
0.250 0.000 0.698
0.750 0.000 0.302
0.750 0.698 0.698
0.000 0.333 0.667
0.250 0.302 0.302
0.250 0.698 0.000
0.000 0.000 0.000
0.500 0.000 0.000
```

ΔH_f (0 K) = -0.267 eV/atom

19.
## Li2MgHg6 (PBE-GGA)

Data for a geometry-optimized Li2MgHg6 structure.

```
Li2MgHg6
1.0
-3.890 -6.838 -1.639
5.796 -3.414 2.975
-1.927 -0.008 7.099
Hg Li Mg
12 4 2
Direct
0.561 0.716 0.466
0.267 0.864 0.616
0.061 0.466 0.716
0.107 0.949 0.216
0.607 0.216 0.949
0.439 0.284 0.534
0.233 0.384 0.136
0.893 0.051 0.784
0.733 0.136 0.384
0.939 0.534 0.284
0.767 0.616 0.864
0.393 0.784 0.051
0.415 0.532 0.799
0.915 0.799 0.532
0.085 0.201 0.468
0.585 0.468 0.201
0.750 0.870 0.130
0.250 0.130 0.870
```

ΔH_f (0 K) = -0.180 eV/atom

20.
## LiMgHg2 (PBE-GGA)

Data for a geometry-optimized LiMgHg2 structure.

```
LiMgHg2
1.0
3.299 0.015 0.000
1.663 2.850 0.000
1.655 0.956 9.175
Mg Hg Li
1 2 1
Direct
0.498 0.498 0.500
0.076 0.076 0.765
0.258 0.258 0.235
0.667 0.667 0.000
```

ΔH_f (0 K) = -0.194 eV/atom

21.
## Li2Mg6Hg (PBE-GGA)

Data for a geometry-optimized Li2Mg6Hg structure.

```
Li2Mg6Hg
1.0
-4.160 3.816 1.444
-3.797 -4.375 0.627
3.766 -1.241 14.131
Hg Mg Li
2 12 4
Direct
0.000 0.000 0.500
0.500 0.500 0.000
0.819 0.181 0.662
0.826 0.174 0.000
0.681 0.681 0.838
0.819 0.181 0.338
0.174 0.826 0.000
0.674 0.674 0.500
0.181 0.819 0.662
0.319 0.319 0.838
0.681 0.681 0.162
0.181 0.819 0.338
0.326 0.326 0.500
0.319 0.319 0.162
0.500 0.500 0.673
0.500 0.500 0.327
0.000 0.000 0.827
0.000 0.000 0.173
```

ΔH_f (0 K) = 0.286 eV/atom